A plane-wave DFT calculation with PBE was carried out for a geometry-optimized TcIrPd2 structure.

Results
The total moment comes out at 0.0 μB/f.u. The calculation puts the energy of formation at 0.40 eV/atom. For the relative energy among the computed polymorphs, the calculation gives 0.000 eV per atom. The density of states at the Fermi level is 22.28 states/eV/cell.

Cell: 6.2208 6.2208 6.2208 Å, 90.00 90.00 90.00°
With the nearest neighbours (Å) after each atom.
Space group Fm-3m (No. 225)
One atom of each set of equivalent atoms:
1 Tc 0.0000 0.0000 0.0000 [4 per cell]  8 Pd 2.69
2 Ir 0.0000 0.0000 0.5000 [4 per cell]  8 Pd 2.69
3 Pd 0.2500 0.2500 0.2500 [8 per cell]  4 Tc 2.69, 4 Ir 2.69


A plane-wave DFT calculation with PBE was carried out for a geometry-optimized TcIr2Pd structure.

Results
The total moment comes out at 0.0 μB/f.u. The calculation puts the energy of formation at -0.09 eV/atom. For the relative energy among the computed polymorphs, the calculation gives 0.004 eV per atom. The density of states at the Fermi level is 11.48 states/eV/cell.

Cell: 2.7425 2.7425 27.0454 Å, 90.00 90.00 120.00°
With the nearest neighbours (Å) after each atom.
Space group R-3m (No. 166, hexagonal axes)
One atom of each set of equivalent atoms:
1 Tc 0.0000 0.0000 0.0000 [3 per cell]  6 Ir 2.69, 6 Tc 2.74
2 Ir 0.0000 0.0000 0.2531 [6 per cell]  3 Tc 2.69, 6 Ir 2.74, 3 Pd 2.82
3 Pd 0.0000 0.0000 0.5000 [3 per cell]  6 Pd 2.74, 6 Ir 2.82


A plane-wave DFT calculation with PBE was carried out for a geometry-optimized TcIr2Pd structure.

Results
The total moment comes out at 0.0 μB/f.u. The calculation puts the energy of formation at 0.52 eV/atom. For the relative energy among the computed polymorphs, the calculation gives 0.610 eV per atom. The density of states at the Fermi level is 11.60 states/eV/cell.

Cell: 7.0495 7.0495 5.3575 Å, 90.00 90.00 90.00°
With the nearest neighbours (Å) after each atom.
Space group I-42d (No. 122)
One atom of each set of equivalent atoms:
1 Tc 0.0000 0.0000 0.0000 [4 per cell]  4 Ir 2.41, 2 Pd 2.68
2 Ir 0.2132 0.2500 0.1250 [8 per cell]  2 Tc 2.41
3 Pd 0.0000 0.0000 0.5000 [4 per cell]  2 Tc 2.68, 4 Ir 2.76


A plane-wave DFT calculation with PBE was carried out for a geometry-optimized TcIr2Pd structure.

Results
The total moment comes out at 1.3 μB/f.u. The calculation puts the energy of formation at 0.38 eV/atom. For the relative energy among the computed polymorphs, the calculation gives 0.472 eV per atom. The density of states at the Fermi level is 19.52 states/eV/cell.

Cell: 6.2248 6.2248 6.2248 Å, 90.00 90.00 90.00°
With the nearest neighbours (Å) after each atom.
Space group Fm-3m (No. 225)
One atom of each set of equivalent atoms:
1 Tc 0.0000 0.0000 0.0000 [4 per cell]  8 Ir 2.70
2 Ir 0.2500 0.2500 0.2500 [8 per cell]  4 Tc 2.70, 4 Pd 2.70
3 Pd 0.0000 0.0000 0.5000 [4 per cell]  8 Ir 2.70


A plane-wave DFT calculation with PBE was carried out for a geometry-optimized Tc2IrPdW structure.

Results
The total moment comes out at 0.0 μB/f.u. The calculation puts the energy of formation at 1.81 eV/atom. The density of states at the Fermi level is 6.77 states/eV/cell.

Cell: 4.6634 4.6634 4.7141 Å, 90.00 90.00 90.00°
With the nearest neighbours (Å) after each atom.
Space group P4/mmm (No. 123)
One atom of each set of equivalent atoms:
1 Tc 0.0000 0.5000 0.0000 [2 per cell]  2 Ir 2.33
2 Ir 0.0000 0.0000 0.0000 [1 per cell]  4 Tc 2.33, 2 W 2.36
3 Pd 0.5000 0.5000 0.5000 [1 per cell]  4 W 3.30, 8 Tc 3.32
4 W 0.0000 0.0000 0.5000 [1 per cell]  2 Ir 2.36


A plane-wave DFT calculation with PBE was carried out for a geometry-optimized Te2IrPd structure.

Results
The total moment comes out at 0.0 μB/f.u. For the relative energy among the computed polymorphs, the calculation gives 0.000 eV per atom. The density of states at the Fermi level is 15.69 states/eV/cell.

Cell: 3.8844 3.8844 24.0041 Å, 90.00 90.00 120.00°
With the nearest neighbours (Å) after each atom.
Space group R-3m (No. 166, hexagonal axes)
One atom of each set of equivalent atoms:
1 Te 0.0000 0.0000 0.1068 [6 per cell]  1 Pd 2.56, 3 Ir 2.66
2 Ir 0.0000 0.0000 0.5000 [3 per cell]  6 Te 2.66
3 Pd 0.0000 0.0000 0.0000 [3 per cell]  2 Te 2.56


A plane-wave DFT calculation with PBE was carried out for a geometry-optimized Te2IrPd structure.

Results
The total moment comes out at 0.0 μB/f.u. For the relative energy among the computed polymorphs, the calculation gives 0.145 eV per atom. The density of states at the Fermi level is 6.41 states/eV/cell.

Cell: 6.7871 6.7871 6.7871 Å, 90.00 90.00 90.00°
With the nearest neighbours (Å) after each atom.
Space group Fm-3m (No. 225)
One atom of each set of equivalent atoms:
1 Te 0.2500 0.2500 0.2500 [8 per cell]  4 Ir 2.94, 4 Pd 2.94
2 Ir 0.0000 0.0000 0.0000 [4 per cell]  8 Te 2.94
3 Pd 0.0000 0.0000 0.5000 [4 per cell]  8 Te 2.94


A plane-wave DFT calculation with PBE was carried out for a geometry-optimized TeIr3Pd structure.

Results
The total moment comes out at 1.0 μB/f.u. For the relative energy among the computed polymorphs, the calculation gives 0.000 eV per atom. The density of states at the Fermi level is 9.71 states/eV/cell.

Cell: 4.8240 4.8240 4.8240 Å, 90.00 90.00 90.00°
With the nearest neighbours (Å) after each atom.
Space group Pm-3m (No. 221)
One atom of each set of equivalent atoms:
1 Te 0.0000 0.0000 0.0000 [1 per cell]  6 Ir 2.41
2 Ir 0.0000 0.0000 0.5000 [3 per cell]  2 Te 2.41
3 Pd 0.5000 0.5000 0.5000 [1 per cell]  12 Ir 3.41


A plane-wave DFT calculation with PBE was carried out for a geometry-optimized Te12IrPd5 structure.

Results
The total moment comes out at 0.0 μB/f.u. The density of states at the Fermi level is 13.30 states/eV/cell. The value obtained for the total energy is -4.326 eV/atom.

Cell: 7.1008 12.1357 11.1203 Å, 90.00 92.97 90.00°
With the nearest neighbours (Å) after each atom.
Space group C2/m (No. 12)
One atom of each set of equivalent atoms:
1 Te 0.1606 0.1634 0.3795 [8 per cell]  1 Ir 2.68, 2 Pd 2.70-2.75
2 Te 0.1671 0.5000 0.3758 [4 per cell]  1 Ir 2.67, 2 Pd 2.74
3 Te 0.1816 0.0000 0.1255 [4 per cell]  3 Pd 2.72-2.74
4 Te 0.1816 0.3347 0.1229 [8 per cell]  3 Pd 2.70-2.74
5 Ir 0.0000 0.0000 0.5000 [2 per cell]  6 Te 2.67-2.68
6 Pd 0.0000 0.1665 0.0000 [4 per cell]  6 Te 2.70-2.74
7 Pd 0.0000 0.3342 0.5000 [4 per cell]  6 Te 2.70-2.75
8 Pd 0.0000 0.5000 0.0000 [2 per cell]  6 Te 2.72


A plane-wave DFT calculation with PBE was carried out for a geometry-optimized Te2IrPd structure.

Results
The total moment comes out at 0.0 μB/f.u. For the relative energy among the computed polymorphs, the calculation gives 0.017 eV per atom. The density of states at the Fermi level is 10.54 states/eV/cell.

Cell: 5.9106 5.9106 12.2777 Å, 90.00 90.00 90.00°
With the nearest neighbours (Å) after each atom.
Space group I-42d (No. 122)
One atom of each set of equivalent atoms:
1 Te 0.2376 0.2500 0.1250 [8 per cell]  2 Ir 2.55, 2 Pd 2.64
2 Ir 0.0000 0.0000 0.0000 [4 per cell]  4 Te 2.55
3 Pd 0.0000 0.0000 0.5000 [4 per cell]  4 Te 2.64


A plane-wave DFT calculation with PBE was carried out for a geometry-optimized Te2IrPd structure.

Results
The total moment comes out at 0.0 μB/f.u. For the relative energy among the computed polymorphs, the calculation gives 0.454 eV per atom. The density of states at the Fermi level is 12.24 states/eV/cell.

Cell: 3.1500 3.1500 29.1295 Å, 90.00 90.00 120.00°
With the nearest neighbours (Å) after each atom.
Space group R-3m (No. 166, hexagonal axes)
One atom of each set of equivalent atoms:
1 Te 0.0000 0.0000 0.0887 [6 per cell]  1 Ir 2.59
2 Ir 0.0000 0.0000 0.0000 [3 per cell]  2 Te 2.59
3 Pd 0.0000 0.0000 0.5000 [3 per cell]  6 Te 2.91, 6 Pd 3.15


A plane-wave DFT calculation with PBE was carried out for a geometry-optimized Te8IrPd3 structure.

Results
The total moment comes out at 0.0 μB/f.u. The density of states at the Fermi level is 9.40 states/eV/cell. The value obtained for the total energy is -4.453 eV/atom.

Cell: 10.5069 8.1677 8.7820 Å, 90.00 126.36 90.00°
With the nearest neighbours (Å) after each atom.
Space group C2/m (No. 12)
One atom of each set of equivalent atoms:
1 Te 0.0387 0.0000 0.3340 [4 per cell]  3 Pd 2.71-2.72
2 Te 0.0397 0.5000 0.3295 [4 per cell]  1 Ir 2.67, 2 Pd 2.71
3 Te 0.2103 0.2557 0.1570 [8 per cell]  1 Ir 2.67, 2 Pd 2.74-2.79
4 Ir 0.0000 0.5000 0.0000 [2 per cell]  6 Te 2.67
5 Pd 0.0000 0.0000 0.0000 [2 per cell]  6 Te 2.71-2.74
6 Pd 0.2500 0.2500 0.5000 [4 per cell]  6 Te 2.71-2.79